Record 1
First-principles (GGA-PBE) data for an optimized crystal structure of Ca2InHg, as listed in the Alexandria database.

The value obtained for the formation energy from the elements is -129 kJ/mol of formula units.

It has space group R-3m (No. 166, hexagonal axes), with a = 3.8604 Å, b = 3.8604 Å, c = 28.8044 Å, α = 90.00°, β = 90.00° and γ = 120.00°. The asymmetric unit holds Ca at (0.0000, 0.0000, 0.2469), In at (0.0000, 0.0000, 0.0000) and Hg at (0.0000, 0.0000, 0.5000).

Record 2
First-principles (GGA-PBE) data for an optimized crystal structure of CaIn5Hg2, as listed in the Alexandria database.

The relative energy among the computed polymorphs is 0 meV per atom. The value obtained for the formation energy from the elements is -119 kJ/mol of formula units.

It has space group Pbam (No. 55), with a = 6.7688 Å, b = 13.6214 Å, c = 4.5761 Å, α = 90.00°, β = 90.00° and γ = 90.00°. The asymmetric unit holds Ca at (0.0000, 0.0000, 0.0000), In at (0.0000, 0.5000, 0.0000), In at (0.0317, 0.2558, 0.0000), In at (0.2282, 0.6286, 0.5000) and Hg at (0.2294, 0.8791, 0.5000).